1.
The following is a PBE+U calculation of a relaxed structure of TlV3Cd4O12, from Alexandria via LeMat-Bulk.

Its symmetry is Cc (9). As for the size of the total moment: 0.0000 μB per atom. For the total DFT energy (no corrections), the calculation gives -5.92 eV per atom. As for the density of states at the Fermi level: 0.0 states/eV/cell. As for the volume: 14.91 Å³ per atom.

POSCAR file:
```
TlV3Cd4O12
1.0
6.632 -6.894 0.000
6.632 6.894 0.000
-3.078 0.000 6.520
Tl V Cd O
2 6 8 24
Direct
0.026 0.974 0.500 Tl
0.974 0.026 0.000 Tl
0.132 0.353 0.888 V
0.301 0.704 0.502 V
0.353 0.132 0.388 V
0.652 0.880 0.112 V
0.704 0.301 0.002 V
0.880 0.652 0.612 V
0.064 0.383 0.391 Cd
0.267 0.743 0.009 Cd
0.383 0.064 0.891 Cd
0.475 0.491 0.795 Cd
0.491 0.475 0.295 Cd
0.624 0.938 0.604 Cd
0.743 0.267 0.509 Cd
0.938 0.624 0.104 Cd
0.001 0.333 0.650 O
0.012 0.671 0.852 O
0.046 0.404 0.072 O
0.181 0.181 0.380 O
0.181 0.181 0.880 O
0.185 0.731 0.281 O
0.274 0.822 0.720 O
0.290 0.524 0.522 O
0.297 0.482 0.961 O
0.333 0.001 0.150 O
0.404 0.046 0.572 O
0.478 0.717 0.481 O
0.482 0.297 0.461 O
0.516 0.726 0.039 O
0.524 0.290 0.022 O
0.608 0.970 0.930 O
0.671 0.012 0.352 O
0.717 0.478 0.981 O
0.726 0.516 0.539 O
0.731 0.185 0.781 O
0.822 0.274 0.220 O
0.824 0.827 0.123 O
0.827 0.824 0.623 O
0.970 0.608 0.430 O
```

***

2.
The following is a PBE+U calculation of a relaxed structure of Tl3Cd2WO6, from Alexandria via LeMat-Bulk.

Its symmetry is C2/m (12). As for the size of the total moment: 0.0000 μB per atom. For the total DFT energy (no corrections), the calculation gives -4.95 eV per atom. As for the density of states at the Fermi level: 1.0 states/eV/cell. As for the volume: 16.89 Å³ per atom.

POSCAR file:
```
Tl3Cd2WO6
1.0
2.906 -5.031 0.000
2.906 5.031 0.000
-1.988 0.000 6.930
Tl Cd W O
3 2 1 6
Direct
0.000 0.000 0.000 Tl
0.336 0.664 0.000 Tl
0.664 0.336 0.000 Tl
0.167 0.833 0.500 Cd
0.833 0.167 0.500 Cd
0.500 0.500 0.500 W
0.164 0.445 0.340 O
0.275 0.275 0.662 O
0.445 0.164 0.340 O
0.555 0.836 0.660 O
0.725 0.725 0.338 O
0.836 0.555 0.660 O
```

***

3.
The following is a PBE+U calculation of a relaxed structure of Tl3CdW2O9, from Alexandria via LeMat-Bulk.

Its symmetry is P-3m1 (164). As for the size of the total moment: 0.0000 μB per atom. For the total DFT energy (no corrections), the calculation gives -5.87 eV per atom. As for the density of states at the Fermi level: 1.9 states/eV/cell. As for the volume: 14.52 Å³ per atom.

POSCAR file:
```
Tl3CdW2O9
1.0
5.808 0.000 0.000
-2.904 5.030 0.000
0.000 0.000 7.457
Tl Cd W O
3 1 2 9
Direct
0.000 0.000 0.000 Tl
0.333 0.667 0.663 Tl
0.667 0.333 0.337 Tl
0.000 0.000 0.500 Cd
0.333 0.667 0.163 W
0.667 0.333 0.837 W
0.000 0.500 0.000 O
0.175 0.351 0.298 O
0.175 0.825 0.298 O
0.351 0.175 0.702 O
0.500 0.000 0.000 O
0.500 0.500 0.000 O
0.649 0.825 0.298 O
0.825 0.175 0.702 O
0.825 0.649 0.702 O
```

***

4.
The following is a PBE+U calculation of a relaxed structure of Tl2CdW3O12, from Alexandria via LeMat-Bulk.

Its symmetry is R-3m (166). As for the size of the total moment: 0.0840 μB per atom. For the total DFT energy (no corrections), the calculation gives -6.33 eV per atom. As for the density of states at the Fermi level: 6.5 states/eV/cell. As for the volume: 16.77 Å³ per atom.

POSCAR file:
```
Tl2CdW3O12
1.0
3.745 2.162 6.213
-3.745 2.162 6.213
0.000 -4.325 6.213
Tl Cd W O
2 1 3 12
Direct
0.176 0.176 0.176 Tl
0.824 0.824 0.824 Tl
0.500 0.500 0.500 Cd
0.000 0.500 0.500 W
0.500 0.000 0.500 W
0.500 0.500 0.000 W
0.115 0.599 0.599 O
0.210 0.210 0.571 O
0.210 0.571 0.210 O
0.401 0.401 0.885 O
0.401 0.885 0.401 O
0.429 0.790 0.790 O
0.571 0.210 0.210 O
0.599 0.115 0.599 O
0.599 0.599 0.115 O
0.790 0.429 0.790 O
0.790 0.790 0.429 O
0.885 0.401 0.401 O
```

***

5.
The following is a PBE+U calculation of a relaxed structure of Tl2Cd2WO6, from Alexandria via LeMat-Bulk.

Its symmetry is C2/m (12). As for the size of the total moment: 0.0000 μB per atom. For the total DFT energy (no corrections), the calculation gives -5.21 eV per atom. As for the volume: 17.22 Å³ per atom.

POSCAR file:
```
Tl2Cd2WO6
1.0
2.921 -4.991 0.000
2.921 4.991 0.000
-1.877 0.000 6.497
Tl Cd W O
2 2 1 6
Direct
0.172 0.828 0.000 Tl
0.828 0.172 0.000 Tl
0.336 0.664 0.500 Cd
0.664 0.336 0.500 Cd
0.000 0.000 0.500 W
0.057 0.340 0.666 O
0.216 0.216 0.318 O
0.340 0.057 0.666 O
0.660 0.943 0.334 O
0.784 0.784 0.682 O
0.943 0.660 0.334 O
```